Entry 1:
A plane-wave DFT calculation with PBE was carried out for a geometry-optimized FeCoAs structure.

extended XYZ file:
```
9
Lattice="5.978 0.000 0.000 -2.989 5.177 0.000 0.000 0.000 3.587" Properties=species:S:1:pos:R:3 pbc="T T T"
Fe -1.781 3.084 0.000
Fe 1.208 2.093 0.000
Fe 3.561 0.000 0.000
Co -0.763 1.321 1.793
Co 1.525 0.000 1.793
Co 2.226 3.856 1.793
As 0.000 0.000 0.000
As 0.000 3.451 1.793
As 2.989 1.726 1.793
```

Final energy = -6.84 eV per atom
Space group = P-62m (189)
Volume = 111 Å³ per cell

=====

Entry 2:
A plane-wave DFT calculation with PBE was carried out for a geometry-optimized FeCoAs structure.

extended XYZ file:
```
9
Lattice="6.437 0.000 0.000 -3.219 5.575 0.000 0.000 0.000 3.253" Properties=species:S:1:pos:R:3 pbc="T T T"
Fe -1.967 3.406 0.000
Fe 1.252 2.169 0.000
Fe 3.933 0.000 0.000
Co 0.000 0.000 0.000
Co 0.000 3.717 1.627
Co 3.219 1.858 1.627
As -0.913 1.581 1.627
As 1.826 0.000 1.627
As 2.306 3.994 1.627
```

Final energy = -6.66 eV per atom
Space group = P-62m (189)
Volume = 117 Å³ per cell